# HfOs2Au2 | the Alexandria database | PBE | optimized geometry
data_HfOs2Au2
_chemical_formula_sum 'Hf2 Os4 Au4'
_space_group_name_H-M_alt 'I 4/m m m'
_space_group_IT_number 139
_space_group_name_Hall '-I 4 2'
_cell_length_a 3.864
_cell_length_b 3.864
_cell_length_c 12.530
_cell_angle_alpha 90.00
_cell_angle_beta 90.00
_cell_angle_gamma 90.00
loop_
_atom_site_label
_atom_site_type_symbol
_atom_site_fract_x
_atom_site_fract_y
_atom_site_fract_z
Hf1 Hf 0.000 0.000 0.000
Os1 Os 0.000 0.000 0.408
Au1 Au 0.000 0.500 0.250
# * calculated density: 16.91 Mg/m³
# * calculated volume: 18.71 Å³ per atom
# * E_form: 0.342 eV per atom
# * size of the total moment: 0.0 Bohr magnetons per cell